VIn2O6 PBE with a Hubbard U relaxed; E_tot = -6.1471 eV/atom
1.0
4.8476 0.0000 0.0000
0.0000 4.8476 0.0000
0.0000 0.0000 9.5747
V In O
2 4 12
Direct
0.0000 0.0000 0.0000
0.5000 0.5000 0.5000
0.0000 0.0000 0.3331
0.5000 0.5000 0.8331
0.5000 0.5000 0.1669
0.0000 0.0000 0.6669
0.3146 0.3146 0.3537
0.6854 0.6854 0.3537
0.1854 0.8146 0.8537
0.8146 0.1854 0.8537
0.1854 0.8146 0.1463
0.8146 0.1854 0.1463
0.3146 0.3146 0.6463
0.6854 0.6854 0.6463
0.2809 0.2809 0.0000
0.7191 0.7191 0.0000
0.2191 0.7809 0.5000
0.7809 0.2191 0.5000